Material: PmRh3
Method: DFT, meta-GGA SCAN
State: PBEsol geometry

Cell: 4.030 4.030 4.030 Å, 90.00 90.00 90.00°
Element x y z (fractional)
Rh  0.500  0.000  0.500
Pm  0.000  0.000  0.000
Rh  0.000  0.500  0.500
Rh  0.500  0.500  0.000

- D(E_F) (states/eV per atom) = 0.7745
- DFT total energy (eV/atom) = -36.7485
- E_form (kJ/mol of formula units) = -163
- symmetry = Pm-3m, No. 221


Material: PmRh3
Method: DFT, meta-GGA SCAN
State: PBEsol geometry

Cell: 4.546 5.810 5.810 Å, 120.00 90.00 90.00°
Element x y z (fractional)
Rh  0.750  0.154  0.309
Pm  0.250  0.333  0.667
Rh  0.250  0.309  0.154
Pm  0.750  0.667  0.333
Rh  0.250  0.846  0.154
Rh  0.250  0.846  0.691
Rh  0.750  0.154  0.846
Rh  0.750  0.691  0.846

- D(E_F) (states/eV per atom) = 0.7668
- DFT total energy (eV/atom) = -36.7302
- E_form (kJ/mol of formula units) = -156
- symmetry = P6_3/mmc, No. 194